(1)
VASP calculation (GGA-PBE) on a relaxed structure of TbErSO2.

Structure (POSCAR):
```
TbErSO2
1.0
-3.750 0.471 -0.056
1.617 -1.958 2.800
0.642 5.520 3.490
Er O S Tb
1 2 1 1
Cartesian
0.460 3.956 2.502
0.239 2.059 1.302
0.234 2.341 4.054
-1.321 5.165 4.376
0.009 0.403 2.829
```

## Properties
volume: 81.2 Å³/f.u.
calculated total energy: -0.2888 hartree per atom
spin magnetization: 0.00 μB per cell

=====

(2)
VASP calculation (GGA-PBE) on a relaxed structure of LiCo3As5.

Structure (POSCAR):
```
LiCo3As5
1.0
-3.757 2.462 2.105
-0.926 -3.632 -3.250
-0.123 -4.908 5.520
As Co Li
5 3 1
Cartesian
-2.842 -0.720 1.614
-1.899 -2.751 -0.170
-0.062 -2.454 2.760
-2.908 -3.326 4.546
-1.964 -5.357 2.761
-1.940 -1.223 3.813
-0.525 -4.270 1.135
-2.403 -3.039 2.188
0.000 0.000 0.000
```

## Properties
volume: 157.4 Å³/f.u.
calculated total energy: -0.1931 hartree per atom
spin magnetization: 0.01 μB per cell

=====

(3)
VASP calculation (GGA-PBE) on a relaxed structure of Rb2HfPbSe6.

Structure (POSCAR):
```
Rb2HfPbSe6
1.0
4.256 -5.126 3.991
2.315 5.642 4.809
-7.576 -1.279 -1.137
Hf Pb Rb Se
1 1 2 6
Cartesian
0.000 0.000 0.000
3.286 0.258 4.400
-0.017 -3.074 3.627
-0.987 2.310 4.036
1.562 0.123 2.092
3.795 -2.566 4.186
2.777 3.082 4.615
5.009 0.393 6.708
-2.040 -0.486 1.552
1.036 -0.278 6.112
```

## Properties
volume: 330.9 Å³/f.u.
calculated total energy: -0.1568 hartree per atom
spin magnetization: 0.00 μB per cell